# Ga2Sb2Rh | the Alexandria database | GGA-PBE | optimized geometry
data_Ga2Sb2Rh
_chemical_formula_sum 'Ga2 Sb2 Rh1'
_symmetry_space_group_name_H-M 'P 1'
_symmetry_Int_Tables_number 1
_symmetry_space_group_name_Hall 'P 1'
_cell_length_a 5.4941
_cell_length_b 5.4941
_cell_length_c 5.3463
_cell_angle_alpha 59.08
_cell_angle_beta 59.08
_cell_angle_gamma 90.00
loop_
_atom_site_label
_atom_site_type_symbol
_atom_site_fract_x
_atom_site_fract_y
_atom_site_fract_z
Sb1 Sb 0.7500 0.2500 0.5000
Rh1 Rh 0.0000 0.0000 0.0000
Ga1 Ga 0.6627 0.6627 0.6746
Ga2 Ga 0.3373 0.3373 0.3254
Sb2 Sb 0.2500 0.7500 0.5000
# Offset from the most stable computed form in eV per atom: 0.2032
# E_form (uncorrected) in eV per atom: 0.26
# Electronic total energy in eV per atom: -4.0750
# N(E_F) in states/eV per cell: 3.80